Record 1
Here is a relaxed structure of NdP12Ru4 from the Alexandria database. Energies are from GGA-PBEsol.

a b c (Å): 6.940 6.940 6.940
angles (deg): 109.47 109.47 109.47
Fractional coordinates of all 17 atoms:
Nd (0.000, 0.000, 0.000)
P (0.145, 0.502, 0.357)
P (0.145, 0.787, 0.643)
P (0.213, 0.357, 0.855)
P (0.357, 0.145, 0.502)
P (0.357, 0.855, 0.213)
P (0.498, 0.643, 0.855)
P (0.502, 0.357, 0.145)
P (0.643, 0.145, 0.787)
P (0.643, 0.855, 0.498)
P (0.787, 0.643, 0.145)
P (0.855, 0.213, 0.357)
P (0.855, 0.498, 0.643)
Ru (0.000, 0.000, 0.500)
Ru (0.000, 0.500, 0.000)
Ru (0.500, 0.000, 0.000)
Ru (0.500, 0.500, 0.500)

Properties
As for the space group: No. 204. As for the crystal system: cubic. As for the energy relative to the elements: -0.7242 eV/atom. The calculation puts the volume at 257 Å³ per cell.

=====

Record 2
Here is a relaxed structure of Li2Mn3NiO8 from the Alexandria database. Energies are from GGA-PBEsol.

a b c (Å): 8.094 8.094 8.094
angles (deg): 90.00 90.00 90.00
Fractional coordinates of all 56 atoms:
Li (0.123, 0.377, 0.623)
Li (0.247, 0.747, 0.753)
Li (0.253, 0.253, 0.253)
Li (0.377, 0.623, 0.123)
Li (0.623, 0.123, 0.377)
Li (0.747, 0.753, 0.247)
Li (0.753, 0.247, 0.747)
Li (0.877, 0.877, 0.877)
Mn (0.122, 0.624, 0.377)
Mn (0.123, 0.878, 0.124)
Mn (0.124, 0.123, 0.878)
Mn (0.376, 0.877, 0.378)
Mn (0.377, 0.122, 0.624)
Mn (0.378, 0.376, 0.877)
Mn (0.622, 0.876, 0.623)
Mn (0.623, 0.622, 0.876)
Mn (0.624, 0.377, 0.122)
Mn (0.876, 0.623, 0.622)
Mn (0.877, 0.378, 0.376)
Mn (0.878, 0.124, 0.123)
Ni (0.004, 0.504, 0.996)
Ni (0.496, 0.496, 0.496)
Ni (0.504, 0.996, 0.004)
Ni (0.996, 0.004, 0.504)
O (0.101, 0.628, 0.606)
O (0.106, 0.399, 0.372)
O (0.115, 0.115, 0.115)
O (0.122, 0.646, 0.139)
O (0.128, 0.894, 0.899)
O (0.134, 0.866, 0.366)
O (0.139, 0.122, 0.646)
O (0.146, 0.361, 0.878)
O (0.354, 0.639, 0.378)
O (0.361, 0.878, 0.146)
O (0.366, 0.134, 0.866)
O (0.372, 0.106, 0.399)
O (0.378, 0.354, 0.639)
O (0.385, 0.885, 0.615)
O (0.394, 0.601, 0.872)
O (0.399, 0.372, 0.106)
O (0.601, 0.872, 0.394)
O (0.606, 0.101, 0.628)
O (0.615, 0.385, 0.885)
O (0.622, 0.854, 0.861)
O (0.628, 0.606, 0.101)
O (0.634, 0.634, 0.634)
O (0.639, 0.378, 0.354)
O (0.646, 0.139, 0.122)
O (0.854, 0.861, 0.622)
O (0.861, 0.622, 0.854)
O (0.866, 0.366, 0.134)
O (0.872, 0.394, 0.601)
O (0.878, 0.146, 0.361)
O (0.885, 0.615, 0.385)
O (0.894, 0.899, 0.128)
O (0.899, 0.128, 0.894)

Properties
As for the space group: No. 198. As for the crystal system: cubic. The value obtained for the energy above the lowest structure with this stoichiometry is 4.30 kJ per mole of atoms. The raw formation energy is -1.6498 eV/atom. The calculation puts the volume at 530 Å³ per cell.

=====

Record 3
Here is a relaxed structure of Cu2P8Se3I2 from the Alexandria database. Energies are from GGA-PBEsol.

a b c (Å): 9.110 12.199 13.720
angles (deg): 90.00 90.00 90.00
Fractional coordinates of all 60 atoms:
Cu (0.008, 0.122, 0.250)
Cu (0.008, 0.378, 0.750)
Cu (0.186, 0.574, 0.750)
Cu (0.186, 0.926, 0.250)
Cu (0.814, 0.074, 0.750)
Cu (0.814, 0.426, 0.250)
Cu (0.992, 0.622, 0.250)
Cu (0.992, 0.878, 0.750)
P (0.066, 0.694, 0.109)
P (0.066, 0.694, 0.391)
P (0.066, 0.806, 0.609)
P (0.066, 0.806, 0.891)
P (0.175, 0.567, 0.021)
P (0.175, 0.567, 0.479)
P (0.175, 0.933, 0.521)
P (0.175, 0.933, 0.979)
P (0.226, 0.665, 0.613)
P (0.226, 0.665, 0.887)
P (0.226, 0.835, 0.113)
P (0.226, 0.835, 0.387)
P (0.442, 0.743, 0.580)
P (0.442, 0.743, 0.920)
P (0.442, 0.757, 0.080)
P (0.442, 0.757, 0.420)
P (0.558, 0.243, 0.580)
P (0.558, 0.243, 0.920)
P (0.558, 0.257, 0.080)
P (0.558, 0.257, 0.420)
P (0.774, 0.165, 0.613)
P (0.774, 0.165, 0.887)
P (0.774, 0.335, 0.113)
P (0.774, 0.335, 0.387)
P (0.825, 0.067, 0.021)
P (0.825, 0.067, 0.479)
P (0.825, 0.433, 0.521)
P (0.825, 0.433, 0.979)
P (0.934, 0.194, 0.109)
P (0.934, 0.194, 0.391)
P (0.934, 0.306, 0.609)
P (0.934, 0.306, 0.891)
Se (0.105, 0.250, 0.000)
Se (0.105, 0.250, 0.500)
Se (0.389, 0.578, 0.109)
Se (0.389, 0.578, 0.391)
Se (0.389, 0.922, 0.609)
Se (0.389, 0.922, 0.891)
Se (0.611, 0.078, 0.109)
Se (0.611, 0.078, 0.391)
Se (0.611, 0.422, 0.609)
Se (0.611, 0.422, 0.891)
Se (0.895, 0.750, 0.000)
Se (0.895, 0.750, 0.500)
I (0.102, 0.076, 0.750)
I (0.102, 0.424, 0.250)
I (0.293, 0.120, 0.250)
I (0.293, 0.380, 0.750)
I (0.707, 0.620, 0.250)
I (0.707, 0.880, 0.750)
I (0.898, 0.576, 0.750)
I (0.898, 0.924, 0.250)

Properties
As for the space group: No. 57. As for the crystal system: orthorhombic. The raw formation energy is -0.1023 eV/atom. The calculation puts the volume at 1525 Å³ per cell.